(1)
# GGA-PBE Cs3Zn2CdF9, relaxed
data_Cs3Zn2CdF9
_cell_length_a 6.1800
_cell_length_b 6.1800
_cell_length_c 7.5788
_cell_angle_alpha 90.00
_cell_angle_beta 90.00
_cell_angle_gamma 120.00
_space_group_name_H-M_alt 'P -3 m 1'
_space_group_IT_number 164
_space_group_name_Hall '-P 3 2"'
loop_
_atom_site_label
_atom_site_type_symbol
_atom_site_fract_x
_atom_site_fract_y
_atom_site_fract_z
Cs1 Cs 0.0000 0.0000 0.0000
Cs2 Cs 0.3333 0.6667 0.6677
Zn1 Zn 0.3333 0.6667 0.1584
Cd1 Cd 0.0000 0.0000 0.5000
F1 F 0.0000 0.5000 0.0000
F2 F 0.1744 0.3489 0.3222
# M_tot = 0.000 μB/atom
# Formation energy (no corrections) = -2.4832 eV per atom
# Total energy = -4.01 eV/atom

=====

(2)
# GGA-PBE V2ZnBi, relaxed
data_V2ZnBi
_cell_length_a 6.626
_cell_length_b 6.626
_cell_length_c 6.626
_cell_angle_alpha 90.00
_cell_angle_beta 90.00
_cell_angle_gamma 90.00
_space_group_name_H-M_alt 'F m -3 m'
_space_group_IT_number 225
_space_group_name_Hall '-F 4 2 3'
loop_
_atom_site_label
_atom_site_type_symbol
_atom_site_fract_x
_atom_site_fract_y
_atom_site_fract_z
V1 V 0.250 0.250 0.250
Zn1 Zn 0.000 0.000 0.000
Bi1 Bi 0.000 0.000 0.500
# M_tot = 1.329 μB/atom
# ΔH_f (0 K) = 0.483 eV per atom
# Total energy = -5.37 eV/atom
# ΔE to the lowest computed polymorph = 0.000 eV/atom

=====

> Among the records above, which one has the highest M_tot?

V2ZnBi

=====

> Among the records above, which one has the highest M_tot?

V2ZnBi

=====

Please write out number 1 again, unchanged.
# GGA-PBE Cs3Zn2CdF9, relaxed
data_Cs3Zn2CdF9
_cell_length_a 6.1800
_cell_length_b 6.1800
_cell_length_c 7.5788
_cell_angle_alpha 90.00
_cell_angle_beta 90.00
_cell_angle_gamma 120.00
_space_group_name_H-M_alt 'P -3 m 1'
_space_group_IT_number 164
_space_group_name_Hall '-P 3 2"'
loop_
_atom_site_label
_atom_site_type_symbol
_atom_site_fract_x
_atom_site_fract_y
_atom_site_fract_z
Cs1 Cs 0.0000 0.0000 0.0000
Cs2 Cs 0.3333 0.6667 0.6677
Zn1 Zn 0.3333 0.6667 0.1584
Cd1 Cd 0.0000 0.0000 0.5000
F1 F 0.0000 0.5000 0.0000
F2 F 0.1744 0.3489 0.3222
# M_tot = 0.000 μB/atom
# Formation energy (no corrections) = -2.4832 eV per atom
# Total energy = -4.01 eV/atom

=====

> What is the formula in the second record?

V2ZnBi